ScMnAs2Br | SCAN | single point on PBEsol structure

The uncorrected formation energy is -56 meV/atom. The value obtained for the uncorrected energy is -18.523 eV per atom.

The structure belongs to space group P4/mmm (No. 123); the cell edges are 5.080, 5.080 and 5.061 Å and the angles 90.00°, 90.00° and 90.00°. The asymmetric unit holds Sc at (0.000, 0.000, 0.000), Mn at (0.500, 0.500, 0.500), As at (0.000, 0.500, 0.000) and Br at (0.000, 0.000, 0.500).



MnAsSe2Br | SCAN | single point on PBEsol structure

The uncorrected formation energy is 964 meV/atom. As for the energy above the most stable polymorph in this dataset: 0.723 eV/atom. The value obtained for the uncorrected energy is -18.649 eV per atom.

The structure belongs to space group P4/mmm (No. 123); the cell edges are 5.031, 5.031 and 5.019 Å and the angles 90.00°, 90.00° and 90.00°. The asymmetric unit holds Mn at (0.000, 0.000, 0.000), As at (0.500, 0.500, 0.000), Se at (0.000, 0.500, 0.500) and Br at (0.500, 0.500, 0.500).